# 1
Density functional theory data (GGA-PBE) for an optimized crystal structure of Hf5Se4.

Cell: 8.001 3.507 13.344 Å, 90.00 95.56 90.00°
Positions (direct):
Hf (0.344, 0.218, 0.528)
Hf (0.782, 0.301, 0.161)
Hf (0.344, 0.282, 0.028)
Hf (0.218, 0.699, 0.839)
Hf (0.656, 0.718, 0.972)
Hf (0.656, 0.782, 0.472)
Hf (0.000, 0.500, 0.500)
Hf (0.000, 0.000, 0.000)
Hf (0.782, 0.199, 0.661)
Hf (0.218, 0.801, 0.339)
Se (0.520, 0.707, 0.651)
Se (0.129, 0.320, 0.177)
Se (0.480, 0.207, 0.849)
Se (0.480, 0.293, 0.349)
Se (0.871, 0.680, 0.823)
Se (0.871, 0.820, 0.323)
Se (0.129, 0.180, 0.677)
Se (0.520, 0.793, 0.151)

Summary:
* magnetic moment: 0.0 Bohr magnetons per cell
* calculated total energy: -142.2 eV for the cell shown

***

# 2
Density functional theory data (GGA-PBE) for an optimized crystal structure of AcErAl.

Cell: 5.357 5.357 5.357 Å, 60.00 60.00 60.00°
Positions (direct):
Ac (0.000, 0.000, 0.000)
Al (0.250, 0.250, 0.250)
Er (0.750, 0.750, 0.750)

Summary:
* distance to the lowest polymorph of the same formula: 616 meV/atom
* magnetic moment: 0.0 Bohr magnetons per cell
* calculated total energy: -10.5 eV for the cell shown

***

# 3
Density functional theory data (GGA-PBE) for an optimized crystal structure of PaTcAu.

Cell: 4.622 4.622 4.622 Å, 60.00 60.00 60.00°
Positions (direct):
Pa (0.000, 0.000, 0.000)
Au (0.250, 0.250, 0.250)
Tc (0.750, 0.750, 0.750)

Summary:
* DFT formation energy: 0.4145 eV/atom
* magnetic moment: 0.0 Bohr magnetons per cell
* calculated total energy: -21.9 eV for the cell shown

***

# 4
Density functional theory data (GGA-PBE) for an optimized crystal structure of LiZnCuTc.

Cell: 4.202 4.202 4.202 Å, 60.00 60.00 60.00°
Positions (direct):
Cu (0.750, 0.750, 0.750)
Zn (0.000, 0.000, 0.000)
Li (0.250, 0.250, 0.250)
Tc (0.500, 0.500, 0.500)

Summary:
* distance to the lowest polymorph of the same formula: 0 meV/atom
* magnetic moment: 2.0 Bohr magnetons per cell
* calculated total energy: -16.2 eV for the cell shown

***

# 5
Density functional theory data (GGA-PBE) for an optimized crystal structure of YGe2Au.

Cell: 4.938 4.938 4.938 Å, 60.00 60.00 60.00°
Positions (direct):
Y (0.500, 0.500, 0.500)
Ge (0.000, 0.000, 0.000)
Ge (0.250, 0.250, 0.250)
Au (0.750, 0.750, 0.750)

Summary:
* magnetic moment: 0.0 Bohr magnetons per cell
* calculated total energy: -20.3 eV for the cell shown

***

# 6
Density functional theory data (GGA-PBE) for an optimized crystal structure of LuCdGa.

Cell: 4.804 4.804 4.804 Å, 60.00 60.00 60.00°
Positions (direct):
Lu (0.000, 0.000, 0.000)
Ga (0.750, 0.750, 0.750)
Cd (0.250, 0.250, 0.250)

Summary:
* magnetic moment: 0.0 Bohr magnetons per cell
* calculated total energy: -8.2 eV for the cell shown

***

# 7
Density functional theory data (GGA-PBE) for an optimized crystal structure of Li4AsPPt2.

Cell: 5.405 4.913 4.913 Å, 103.57 90.00 90.00°
Positions (direct):
Pt (0.749, 0.490, 0.490)
Pt (0.251, 0.490, 0.490)
Li (0.000, 0.019, 0.644)
Li (0.500, 0.983, 0.362)
Li (0.000, 0.644, 0.019)
Li (0.500, 0.362, 0.983)
As (0.500, 0.829, 0.829)
P (0.000, 0.181, 0.181)

Summary:
* distance to the lowest polymorph of the same formula: 21 meV/atom
* magnetic moment: 0.0 Bohr magnetons per cell
* calculated total energy: -34.9 eV for the cell shown

***

# 8
Density functional theory data (GGA-PBE) for an optimized crystal structure of AlZnGaTe2Se2.

Cell: 7.033 7.033 5.845 Å, 113.70 113.70 109.21°
Positions (direct):
Te (0.910, 0.643, 0.006)
Te (0.357, 0.090, 0.994)
Se (0.117, 0.379, 0.506)
Se (0.621, 0.883, 0.494)
Al (0.992, 0.008, 0.500)
Zn (0.495, 0.505, 0.500)
Ga (0.758, 0.242, 0.000)

Summary:
* distance to the lowest polymorph of the same formula: 3 meV/atom
* calculated total energy: -25.2 eV for the cell shown

***

# 9
Density functional theory data (GGA-PBE) for an optimized crystal structure of ErTm2Os.

Cell: 3.952 8.846 6.158 Å, 90.00 108.71 90.00°
Positions (direct):
Os (0.242, 0.250, 0.484)
Os (0.758, 0.750, 0.516)
Tm (0.855, 0.435, 0.710)
Tm (0.145, 0.565, 0.290)
Tm (0.855, 0.065, 0.710)
Tm (0.145, 0.935, 0.290)
Er (0.573, 0.250, 0.147)
Er (0.427, 0.750, 0.853)

Summary:
* DFT formation energy: -0.2871 eV/atom
* magnetic moment: 0.0 Bohr magnetons per cell
* calculated total energy: -51.8 eV for the cell shown

***

# 10
Density functional theory data (GGA-PBE) for an optimized crystal structure of TcAsPdO.

Cell: 3.417 6.413 6.015 Å, 90.00 90.00 90.00°
Positions (direct):
Tc (0.000, 0.219, 0.533)
Tc (0.000, 0.781, 0.033)
O (0.500, 0.240, 0.394)
O (0.500, 0.760, 0.894)
Pd (0.500, 0.583, 0.393)
Pd (0.500, 0.417, 0.893)
As (0.000, 0.845, 0.433)
As (0.000, 0.155, 0.933)

Summary:
* distance to the lowest polymorph of the same formula: 110 meV/atom
* magnetic moment: 0.0 Bohr magnetons per cell
* calculated total energy: -52.6 eV for the cell shown

***

# 11
Density functional theory data (GGA-PBE) for an optimized crystal structure of RbSmSnSe3.

Cell: 16.079 4.251 12.304 Å, 90.00 90.00 90.00°
Positions (direct):
Se (0.413, 0.250, 0.230)
Se (0.631, 0.750, 0.175)
Se (0.600, 0.250, 0.455)
Se (0.869, 0.250, 0.675)
Se (0.100, 0.250, 0.045)
Se (0.131, 0.750, 0.325)
Se (0.913, 0.250, 0.270)
Se (0.087, 0.750, 0.730)
Se (0.400, 0.750, 0.545)
Se (0.369, 0.250, 0.825)
Se (0.587, 0.750, 0.770)
Se (0.900, 0.750, 0.955)
Sm (0.003, 0.750, 0.147)
Sm (0.497, 0.250, 0.647)
Sm (0.503, 0.750, 0.353)
Sm (0.997, 0.250, 0.853)
Rb (0.733, 0.250, 0.915)
Rb (0.267, 0.750, 0.085)
Rb (0.767, 0.750, 0.415)
Rb (0.233, 0.250, 0.585)
Sn (0.040, 0.250, 0.411)
Sn (0.960, 0.750, 0.589)
Sn (0.540, 0.250, 0.089)
Sn (0.460, 0.750, 0.911)

Summary:
* distance to the lowest polymorph of the same formula: 0 meV/atom
* magnetic moment: 0.0 Bohr magnetons per cell
* calculated total energy: -111.6 eV for the cell shown

***

# 12
Density functional theory data (GGA-PBE) for an optimized crystal structure of CdBiNO.

Cell: 6.203 7.300 6.236 Å, 90.00 90.00 90.00°
Positions (direct):
N (0.607, 0.903, 0.581)
N (0.893, 0.903, 0.081)
N (0.393, 0.097, 0.081)
N (0.107, 0.097, 0.581)
Cd (0.561, 0.370, 0.007)
Cd (0.439, 0.630, 0.507)
Cd (0.061, 0.630, 0.007)
Cd (0.939, 0.370, 0.507)
O (0.614, 0.397, 0.660)
O (0.114, 0.603, 0.660)
O (0.886, 0.397, 0.160)
O (0.386, 0.603, 0.160)
Bi (0.941, 0.849, 0.455)
Bi (0.441, 0.151, 0.455)
Bi (0.559, 0.849, 0.955)
Bi (0.059, 0.151, 0.955)

Summary:
* distance to the lowest polymorph of the same formula: 25 meV/atom
* calculated total energy: -75.5 eV for the cell shown